! GGA-PBE Pr5Dy4Y4, relaxed; values from VASP
&SYSTEM
  ibrav = 0, nat = 13, ntyp = 3
/
ATOMIC_SPECIES
Pr 140.91 Pr.upf
Dy 162.50 Dy.upf
Y 88.91 Y.upf
CELL_PARAMETERS angstrom
4.9505 0.0000 1.2587
2.4752 9.2387 0.6293
0.1987 0.0000 9.5831
ATOMIC_POSITIONS angstrom
Pr 5.6809 7.8076 8.7506
Pr 1.9436 1.4311 2.7205
Pr 0.0000 0.0000 0.0000
Pr 4.5978 7.0810 2.6456
Pr 3.0266 2.1577 8.8255
Dy 4.7733 3.5835 1.9557
Dy 2.8512 5.6552 9.5155
Dy 6.5427 8.5195 5.3610
Dy 1.0817 0.7192 6.1101
Y 5.8528 4.2650 8.0746
Y 3.8995 2.8553 5.3922
Y 1.7717 4.9737 3.3966
Y 3.7249 6.3834 6.0790
! ΔE_f in eV/atom: 0.02
! Density of states at the Fermi level in states/eV per atom: 1.500